VASP calculation (GGA-PBE) on a relaxed structure of YAl2Ir.

a = 5.7670 Å, b = 5.7670 Å, c = 5.7670 Å
α = 149.58°, β = 127.58°, γ = 61.83°
Atoms (fractional coordinates):
1 Y 0.2500 0.7500 0.5000
2 Ir 0.7500 0.2500 0.5000
3 Al 0.9623 0.9623 0.0000
4 Al 0.5377 0.5377 0.0000

Output
- Space group: Immm (71)
- Size of the total moment: 0.00 μB/f.u.
- Formation enthalpy at 0 K: -451 meV/atom
- V: 19.072 A^3/atom